A plane-wave DFT calculation with PBE was carried out for crystalline Bi2TePd2 at its relaxed geometry.

As for the magnetic moment: 0.00 μB per formula unit. Its excess energy over the best structure of this formula in the dataset is 83 meV per atom. Its crystal system is tetragonal. The formation energy (no corrections) is -0.966 eV/f.u. Its total energy is -4.4510 eV per atom.

The space group is P4/mbm (No. 127) and the conventional cell measures 7.652, 7.652 and 4.029 Å, with angles of 90.00, 90.00 and 90.00 degrees. The distinct sites, in fractional coordinates, are Bi at (0.156, 0.344, 0.000), Te at (0.000, 0.000, 0.500) and Pd at (0.133, 0.633, 0.500).